Density functional theory data (GGA+U) for an optimized crystal structure of FeCoF4.

The crystal system is orthorhombic. The total DFT energy (no corrections) is -5.32 eV per atom. The calculation puts the density of states at the Fermi level at 0.00 states/eV per atom.

It has space group Pnc2 (No. 30), with a = 5.413 Å, b = 4.735 Å, c = 5.769 Å, α = 90.00°, β = 90.00° and γ = 90.00°. The distinct sites, in fractional coordinates, are Fe at (0.000, 0.000, 0.000), Co at (0.500, 0.000, 0.301), F at (0.171, 0.225, 0.273) and F at (0.338, 0.732, 0.535).